[1]
# AlCd5, optimized geometry, DFT GGA-PBE
# Energy relative to the lowest polymorph listed for this composition: 18 meV per atom
# E_form: 0.4 eV/f.u.
data_AlCd5
_symmetry_space_group_name_H-M 'A m m 2'
_symmetry_Int_Tables_number 38
_symmetry_space_group_name_Hall 'A 2 -2'
_cell_length_a 5.215
_cell_length_b 3.279
_cell_length_c 15.369
_cell_angle_alpha 90.00
_cell_angle_beta 90.00
_cell_angle_gamma 90.00
loop_
_atom_site_label
_atom_site_type_symbol
_atom_site_fract_x
_atom_site_fract_y
_atom_site_fract_z
Al1 Al 0.000 0.000 0.000
Cd1 Cd 0.000 0.000 0.338
Cd2 Cd 0.000 0.000 0.663
Cd3 Cd 0.500 0.000 0.229
Cd4 Cd 0.500 0.000 0.560
Cd5 Cd 0.500 0.000 0.897



[2]
# Co2ReTe, optimized geometry, DFT GGA-PBE
# Formation energy from raw total energies: 463 meV per atom
data_Co2ReTe
_symmetry_space_group_name_H-M 'P 4/m m m'
_symmetry_Int_Tables_number 123
_symmetry_space_group_name_Hall '-P 4 2'
_cell_length_a 2.859
_cell_length_b 2.859
_cell_length_c 7.303
_cell_angle_alpha 90.00
_cell_angle_beta 90.00
_cell_angle_gamma 90.00
loop_
_atom_site_label
_atom_site_type_symbol
_atom_site_fract_x
_atom_site_fract_y
_atom_site_fract_z
Co1 Co 0.000 0.000 0.219
Re1 Re 0.500 0.500 0.000
Te1 Te 0.500 0.500 0.500



[3]
# Mg4ScMo, optimized geometry, DFT GGA-PBE
# E_form: 2.1 eV/f.u.
data_Mg4ScMo
_symmetry_space_group_name_H-M 'F -4 3 m'
_symmetry_Int_Tables_number 216
_symmetry_space_group_name_Hall 'F -4 2 3'
_cell_length_a 7.934
_cell_length_b 7.934
_cell_length_c 7.934
_cell_angle_alpha 90.00
_cell_angle_beta 90.00
_cell_angle_gamma 90.00
loop_
_atom_site_label
_atom_site_type_symbol
_atom_site_fract_x
_atom_site_fract_y
_atom_site_fract_z
Mg1 Mg 0.124 0.124 0.124
Sc1 Sc 0.000 0.000 0.500
Mo1 Mo 0.250 0.250 0.750